(1)
# NiHgP2 | Alexandria | PBE | optimized geometry
data_NiHgP2
_chemical_formula_sum 'Ni1 Hg1 P2'
_space_group_name_H-M_alt 'P 1'
_space_group_IT_number 1
_cell_length_a 3.365
_cell_length_b 2.709
_cell_length_c 8.212
_cell_angle_alpha 90.00
_cell_angle_beta 90.00
_cell_angle_gamma 90.00
loop_
_space_group_symop_operation_xyz
'x,y,z'
loop_
_atom_site_label
_atom_site_type_symbol
_atom_site_fract_x
_atom_site_fract_y
_atom_site_fract_z
Hg1 Hg 0.500 0.500 0.250
Ni1 Ni 0.500 0.500 0.750
P1 P 0.000 0.000 0.891
P2 P 0.000 0.000 0.609
# Final energy, eV per formula unit: -16.572

---

(2)
# Nd3Lu2Ga3O12 | Alexandria | PBE | optimized geometry
data_Nd3Lu2Ga3O12
_chemical_formula_sum 'Nd12 Lu8 Ga12 O48'
_space_group_name_H-M_alt 'P 1'
_space_group_IT_number 1
_cell_length_a 11.247
_cell_length_b 11.247
_cell_length_c 11.247
_cell_angle_alpha 109.47
_cell_angle_beta 109.47
_cell_angle_gamma 109.47
loop_
_space_group_symop_operation_xyz
'x,y,z'
loop_
_atom_site_label
_atom_site_type_symbol
_atom_site_fract_x
_atom_site_fract_y
_atom_site_fract_z
Nd1 Nd 0.250 0.375 0.125
Nd2 Nd 0.750 0.625 0.875
Nd3 Nd 0.750 0.125 0.375
Nd4 Nd 0.125 0.250 0.375
Nd5 Nd 0.375 0.750 0.125
Nd6 Nd 0.250 0.875 0.625
Nd7 Nd 0.875 0.750 0.625
Nd8 Nd 0.625 0.250 0.875
Nd9 Nd 0.375 0.125 0.250
Nd10 Nd 0.625 0.875 0.750
Nd11 Nd 0.125 0.375 0.750
Nd12 Nd 0.875 0.625 0.250
Lu1 Lu 0.000 0.000 0.000
Lu2 Lu 0.500 0.000 0.500
Lu3 Lu 0.000 0.500 0.500
Lu4 Lu 0.500 0.000 0.000
Lu5 Lu 0.500 0.500 0.000
Lu6 Lu 0.500 0.500 0.500
Lu7 Lu 0.000 0.000 0.500
Lu8 Lu 0.000 0.500 0.000
Ga1 Ga 0.250 0.625 0.375
Ga2 Ga 0.750 0.375 0.625
Ga3 Ga 0.750 0.875 0.125
Ga4 Ga 0.375 0.250 0.625
Ga5 Ga 0.625 0.750 0.375
Ga6 Ga 0.250 0.125 0.875
Ga7 Ga 0.125 0.750 0.875
Ga8 Ga 0.875 0.250 0.125
Ga9 Ga 0.625 0.375 0.250
Ga10 Ga 0.375 0.625 0.750
Ga11 Ga 0.875 0.125 0.750
Ga12 Ga 0.125 0.875 0.250
O1 O 0.473 0.374 0.286
O2 O 0.527 0.626 0.714
O3 O 0.588 0.187 0.214
O4 O 0.912 0.126 0.599
O5 O 0.286 0.473 0.374
O6 O 0.313 0.912 0.286
O7 O 0.412 0.813 0.786
O8 O 0.088 0.874 0.401
O9 O 0.714 0.527 0.626
O10 O 0.687 0.088 0.714
O11 O 0.027 0.313 0.901
O12 O 0.214 0.588 0.187
O13 O 0.126 0.027 0.214
O14 O 0.973 0.687 0.099
O15 O 0.786 0.412 0.813
O16 O 0.874 0.973 0.786
O17 O 0.599 0.912 0.126
O18 O 0.187 0.473 0.599
O19 O 0.401 0.088 0.874
O20 O 0.813 0.527 0.401
O21 O 0.901 0.027 0.313
O22 O 0.374 0.588 0.901
O23 O 0.099 0.973 0.687
O24 O 0.626 0.412 0.099
O25 O 0.374 0.286 0.473
O26 O 0.588 0.901 0.374
O27 O 0.626 0.714 0.527
O28 O 0.412 0.099 0.626
O29 O 0.126 0.599 0.912
O30 O 0.027 0.214 0.126
O31 O 0.874 0.401 0.088
O32 O 0.973 0.786 0.874
O33 O 0.313 0.901 0.027
O34 O 0.912 0.286 0.313
O35 O 0.687 0.099 0.973
O36 O 0.088 0.714 0.687
O37 O 0.187 0.214 0.588
O38 O 0.473 0.599 0.187
O39 O 0.813 0.786 0.412
O40 O 0.527 0.401 0.813
O41 O 0.286 0.313 0.912
O42 O 0.714 0.687 0.088
O43 O 0.214 0.126 0.027
O44 O 0.786 0.874 0.973
O45 O 0.901 0.374 0.588
O46 O 0.099 0.626 0.412
O47 O 0.599 0.187 0.473
O48 O 0.401 0.813 0.527
# Final energy, eV per formula unit: -151.103
# ΔE_f (raw), kcal/mol of atoms: -68.23